Here is a geometry-optimized Li3Ho2ThTe6 structure from Alexandria. Energies are from PBE.

Lattice parameters (Å, degrees): 7.487 7.487 7.541 99.53 99.53 120.00
Sites, in units of the cell vectors:
1 Li 0.165 0.835 0.500
2 Li 0.835 0.165 0.500
3 Li 0.500 0.500 0.500
4 Ho 0.333 0.667 0.000
5 Ho 0.667 0.333 0.000
6 Th 0.000 0.000 0.000
7 Te 0.913 0.574 0.740
8 Te 0.747 0.747 0.261
9 Te 0.087 0.426 0.260
10 Te 0.574 0.913 0.740
11 Te 0.253 0.253 0.739
12 Te 0.426 0.087 0.260

Output
- Space group: C2/m, No. 12
- Raw formation energy: -1404 kJ/mol of formula units
- Magnetic moment: 0.00 μB per formula unit